VASP calculation (GGA-PBE) on crystalline ZrFe2Pb at its relaxed geometry.

Summary:
Formation energy from the elements ... 481 meV/atom
ρ ... 9.006 g/cm³

a = 3.246 Å, b = 3.246 Å, c = 24.858 Å
α = 90.00°, β = 90.00°, γ = 120.00°
Fractional positions:
Zr1 0.000 0.000 0.000
Zr2 0.333 0.667 0.667
Zr3 0.667 0.333 0.333
Fe1 0.000 0.000 0.254
Fe2 0.000 0.000 0.746
Fe3 0.333 0.667 0.413
Fe4 0.333 0.667 0.921
Fe5 0.667 0.333 0.079
Fe6 0.667 0.333 0.587
Pb1 0.000 0.000 0.500
Pb2 0.333 0.667 0.167
Pb3 0.667 0.333 0.833

VASP calculation (GGA-PBE) on crystalline Zr4FePb at its relaxed geometry.

Summary:
Formation energy from the elements ... 476 meV/atom
ρ ... 7.763 g/cm³

a = 5.748 Å, b = 5.748 Å, c = 5.748 Å
α = 60.00°, β = 60.00°, γ = 60.00°
Fractional positions:
Zr1 0.124 0.124 0.124
Zr2 0.124 0.124 0.628
Zr3 0.124 0.628 0.124
Zr4 0.628 0.124 0.124
Fe1 0.750 0.750 0.750
Pb1 0.500 0.500 0.500

VASP calculation (GGA-PBE) on crystalline ZrFe2Pb at its relaxed geometry.

Summary:
Formation energy from the elements ... 152 meV/atom
ρ ... 9.501 g/cm³

a = 3.173 Å, b = 3.173 Å, c = 7.119 Å
α = 90.00°, β = 90.00°, γ = 90.00°
Fractional positions:
Zr1 0.000 0.000 0.000
Fe1 0.000 0.000 0.396
Fe2 0.500 0.500 0.236
Pb1 0.500 0.500 0.659

VASP calculation (GGA-PBE) on crystalline ZrFe2Pb at its relaxed geometry.

Summary:
Formation energy from the elements ... 416 meV/atom
ρ ... 9.356 g/cm³

a = 5.846 Å, b = 9.052 Å, c = 3.009 Å
α = 90.00°, β = 113.90°, γ = 90.00°
Fractional positions:
Zr1 0.000 0.000 0.000
Zr2 0.500 0.500 0.000
Fe1 0.250 0.250 0.500
Fe2 0.250 0.750 0.500
Fe3 0.750 0.250 0.500
Fe4 0.750 0.750 0.500
Pb1 0.000 0.500 0.000
Pb2 0.500 0.000 0.000

VASP calculation (GGA-PBE) on crystalline Zr2FePb at its relaxed geometry.

Summary:
Formation energy from the elements ... 82 meV/atom
ρ ... 8.968 g/cm³

a = 4.152 Å, b = 4.152 Å, c = 9.569 Å
α = 90.00°, β = 90.00°, γ = 90.00°
Fractional positions:
Zr1 0.000 0.000 0.000
Zr2 0.000 0.500 0.250
Zr3 0.500 0.000 0.750
Zr4 0.500 0.500 0.500
Fe1 0.000 0.500 0.750
Fe2 0.500 0.000 0.250
Pb1 0.000 0.000 0.500
Pb2 0.500 0.500 0.000

VASP calculation (GGA-PBE) on crystalline ZrFe2Pb at its relaxed geometry.

Summary:
Formation energy from the elements ... 247 meV/atom
ρ ... 9.759 g/cm³

a = 4.077 Å, b = 4.077 Å, c = 8.395 Å
α = 90.00°, β = 90.00°, γ = 90.00°
Fractional positions:
Zr1 0.000 0.000 0.000
Zr2 0.500 0.500 0.500
Fe1 0.000 0.000 0.500
Fe2 0.000 0.500 0.750
Fe3 0.500 0.000 0.250
Fe4 0.500 0.500 0.000
Pb1 0.000 0.500 0.250
Pb2 0.500 0.000 0.750

VASP calculation (GGA-PBE) on crystalline Zr2FePb at its relaxed geometry.

Summary:
Formation energy from the elements ... -7 meV/atom
ρ ... 9.044 g/cm³

a = 11.163 Å, b = 3.389 Å, c = 4.786 Å
α = 90.00°, β = 115.38°, γ = 90.00°
Fractional positions:
Zr1 0.000 0.000 0.000
Zr2 0.218 0.000 0.718
Zr3 0.500 0.500 0.000
Zr4 0.718 0.500 0.718
Fe1 0.204 0.500 0.205
Fe2 0.704 0.000 0.205
Pb1 0.428 0.000 0.428
Pb2 0.928 0.500 0.428

VASP calculation (GGA-PBE) on crystalline FePd4 at its relaxed geometry.

Summary:
Formation energy from the elements ... 7 meV/atom
ρ ... 10.522 g/cm³

a = 7.683 Å, b = 7.683 Å, c = 7.683 Å
α = 149.30°, β = 138.70°, γ = 52.32°
Fractional positions:
Fe1 0.353 0.103 0.250
Fe2 0.647 0.897 0.750
Pd1 0.000 0.500 0.500
Pd2 0.153 0.903 0.250
Pd3 0.194 0.692 0.503
Pd4 0.311 0.308 0.003
Pd5 0.500 0.500 0.000
Pd6 0.689 0.692 0.997
Pd7 0.806 0.308 0.497
Pd8 0.847 0.097 0.750